No. 1
# CaNdAs2Pd5, relaxed, DFT PBE
# * size of the total moment: 0.000 μB per formula unit
# * DOS(E_F): 2.33 states/eV per cell
# * formation energy from the elements: -0.76 eV per atom
# * calculated volume: 167.6 Å³/f.u.
data_CaNdAs2Pd5
_chemical_formula_sum 'Ca1 Nd1 As2 Pd5'
_symmetry_space_group_name_H-M 'P 4/m m m'
_symmetry_Int_Tables_number 123
_symmetry_space_group_name_Hall '-P 4 2'
_cell_length_a 4.3115
_cell_length_b 4.3115
_cell_length_c 9.0137
_cell_angle_alpha 90.00
_cell_angle_beta 90.00
_cell_angle_gamma 90.00
loop_
_atom_site_label
_atom_site_fract_x
_atom_site_fract_y
_atom_site_fract_z
_atom_site_occupancy
Ca1 0.0000 0.0000 0.0000 1
Nd1 0.0000 0.0000 0.5000 1
As1 0.5000 0.5000 0.3601 1
Pd1 0.0000 0.5000 0.2247 1
Pd2 0.5000 0.5000 0.0000 1

No. 2
# CaNdAs2Pd2, relaxed, DFT PBE
# * size of the total moment: 0.000 μB per formula unit
# * DOS(E_F): 1.83 states/eV per cell
# * formation energy from the elements: -1.09 eV per atom
# * calculated volume: 130.5 Å³/f.u.
data_CaNdAs2Pd2
_chemical_formula_sum 'Ca1 Nd1 As2 Pd2'
_symmetry_space_group_name_H-M 'P -3 m 1'
_symmetry_Int_Tables_number 164
_symmetry_space_group_name_Hall '-P 3 2"'
_cell_length_a 4.3164
_cell_length_b 4.3164
_cell_length_c 8.0859
_cell_angle_alpha 90.00
_cell_angle_beta 90.00
_cell_angle_gamma 120.00
loop_
_atom_site_label
_atom_site_fract_x
_atom_site_fract_y
_atom_site_fract_z
_atom_site_occupancy
Ca1 0.0000 0.0000 0.0000 1
Nd1 0.0000 0.0000 0.5000 1
As1 0.3333 0.6667 0.2582 1
Pd1 0.3333 0.6667 0.7546 1

No. 3
# CaNdAsPd, relaxed, DFT PBE
# * size of the total moment: 0.000 μB per formula unit
# * DOS(E_F): 5.46 states/eV per cell
# * formation energy from the elements: -0.91 eV per atom
# * calculated volume: 94.2 Å³/f.u.
data_CaNdAsPd
_chemical_formula_sum 'Ca4 Nd4 As4 Pd4'
_symmetry_space_group_name_H-M 'F -4 3 m'
_symmetry_Int_Tables_number 216
_symmetry_space_group_name_Hall 'F -4 2 3'
_cell_length_a 7.2237
_cell_length_b 7.2237
_cell_length_c 7.2237
_cell_angle_alpha 90.00
_cell_angle_beta 90.00
_cell_angle_gamma 90.00
loop_
_atom_site_label
_atom_site_fract_x
_atom_site_fract_y
_atom_site_fract_z
_atom_site_occupancy
Ca1 0.0000 0.0000 0.0000 1
Nd1 0.0000 0.0000 0.5000 1
As1 0.2500 0.2500 0.2500 1
Pd1 0.2500 0.2500 0.7500 1

No. 4
# CaPm3Nd2As6, relaxed, DFT PBE
# * size of the total moment: 0.000 μB per formula unit
# * DOS(E_F): 11.10 states/eV per cell
# * formation energy from the elements: -1.41 eV per atom
# * calculated volume: 327.1 Å³/f.u.
data_CaPm3Nd2As6
_chemical_formula_sum 'Ca2 Pm6 Nd4 As12'
_symmetry_space_group_name_H-M 'C 1 2/m 1'
_symmetry_Int_Tables_number 12
_symmetry_space_group_name_Hall '-C 2y'
_cell_length_a 18.5656
_cell_length_b 4.2539
_cell_length_c 8.5096
_cell_angle_alpha 90.00
_cell_angle_beta 103.28
_cell_angle_gamma 90.00
loop_
_atom_site_label
_atom_site_fract_x
_atom_site_fract_y
_atom_site_fract_z
_atom_site_occupancy
Ca1 0.0000 0.0000 0.0000 1
Pm1 0.0000 0.0000 0.5000 1
Pm2 0.1660 0.5000 0.8345 1
Nd1 0.1658 0.5000 0.3310 1
As1 0.0005 0.5000 0.7461 1
As2 0.1666 0.0000 0.5841 1
As3 0.1679 0.0000 0.0828 1